1.
Here is an optimized crystal structure of AcGa2Tc2P from Alexandria via LeMat-Bulk. Energies are from PBE-GGA. Values from VASP.

```
&SYSTEM
  ibrav = 0, nat = 6, ntyp = 4
/
ATOMIC_SPECIES
Ac 227.00 Ac.upf
Ga 69.72 Ga.upf
Tc 98.00 Tc.upf
P 30.97 P.upf
ATOMIC_POSITIONS crystal
Ac 0.0000 0.0000 0.0000
Ga 0.5000 0.5000 0.2375
Ga 0.5000 0.5000 0.7625
Tc 0.0000 0.5000 0.5000
Tc 0.5000 0.0000 0.5000
P 0.0000 0.0000 0.5000
CELL_PARAMETERS angstrom
4.4875 0.0000 0.0000
0.0000 4.4875 0.0000
0.0000 0.0000 5.9205
```

## Properties
- M_tot: 0.00 μB/f.u.
- Formation enthalpy at 0 K: -0.494 eV/atom

2.
Here is an optimized crystal structure of AcPa2Ga from Alexandria via LeMat-Bulk. Energies are from PBE-GGA. Values from VASP.

```
&SYSTEM
  ibrav = 0, nat = 12, ntyp = 3
/
ATOMIC_SPECIES
Ac 227.00 Ac.upf
Pa 231.04 Pa.upf
Ga 69.72 Ga.upf
ATOMIC_POSITIONS crystal
Ac 0.0000 0.0000 0.0000
Ac 0.3333 0.6667 0.6667
Ac 0.6667 0.3333 0.3333
Pa 0.0000 0.0000 0.0962
Pa 0.0000 0.0000 0.9038
Pa 0.3333 0.6667 0.5705
Pa 0.3333 0.6667 0.7629
Pa 0.6667 0.3333 0.2371
Pa 0.6667 0.3333 0.4295
Ga 0.0000 0.0000 0.5000
Ga 0.3333 0.6667 0.1667
Ga 0.6667 0.3333 0.8333
CELL_PARAMETERS angstrom
3.2779 0.0000 0.0000
-1.6389 2.8387 0.0000
0.0000 0.0000 35.0872
```

## Properties
- M_tot: 0.00 μB/f.u.
- Formation enthalpy at 0 K: 0.329 eV/atom

3.
Here is an optimized crystal structure of AcPaGa4 from Alexandria via LeMat-Bulk. Energies are from PBE-GGA. Values from VASP.

```
&SYSTEM
  ibrav = 0, nat = 6, ntyp = 3
/
ATOMIC_SPECIES
Ac 227.00 Ac.upf
Pa 231.04 Pa.upf
Ga 69.72 Ga.upf
ATOMIC_POSITIONS crystal
Ac 0.0000 0.0000 0.0000
Pa 0.2500 0.2500 0.2500
Ga 0.1285 0.6238 0.6238
Ga 0.6238 0.1285 0.6238
Ga 0.6238 0.6238 0.1285
Ga 0.6238 0.6238 0.6238
CELL_PARAMETERS angstrom
0.0000 4.0246 4.0246
4.0246 0.0000 4.0246
4.0246 4.0246 0.0000
```

## Properties
- M_tot: 0.32 μB/f.u.
- Formation enthalpy at 0 K: -0.277 eV/atom

4.
Here is an optimized crystal structure of AcPaGa2Pt5 from Alexandria via LeMat-Bulk. Energies are from PBE-GGA. Values from VASP.

```
&SYSTEM
  ibrav = 0, nat = 9, ntyp = 4
/
ATOMIC_SPECIES
Ac 227.00 Ac.upf
Pa 231.04 Pa.upf
Ga 69.72 Ga.upf
Pt 195.08 Pt.upf
ATOMIC_POSITIONS crystal
Ac 0.0000 0.0000 0.0000
Pa 0.0000 0.0000 0.5000
Ga 0.5000 0.5000 0.2086
Ga 0.5000 0.5000 0.7914
Pt 0.0000 0.5000 0.3340
Pt 0.0000 0.5000 0.6660
Pt 0.5000 0.0000 0.3340
Pt 0.5000 0.0000 0.6660
Pt 0.5000 0.5000 0.0000
CELL_PARAMETERS angstrom
4.1394 0.0000 0.0000
0.0000 4.1394 0.0000
0.0000 0.0000 11.8435
```

## Properties
- M_tot: 0.00 μB/f.u.
- Formation enthalpy at 0 K: -0.806 eV/atom